Record 1
PBE YAgS2Cl, optimized geometry; D(E_F) = 0.67 states/eV/cell; formation energy from raw total energies = -0.475 eV per atom; distance to the lowest polymorph of the same formula = 208 meV/atom
1.0
4.900 0.000 0.000
0.000 4.900 0.000
0.000 0.000 4.764
Y Ag S Cl
1 1 2 1
direct
0.000 0.000 0.000
0.500 0.500 0.500
0.000 0.500 0.500
0.500 0.000 0.500
0.500 0.500 0.000

Record 2
PBE YAgS2Cl, optimized geometry; D(E_F) = 4.42 states/eV/cell; formation energy from raw total energies = -0.683 eV per atom; distance to the lowest polymorph of the same formula = 0 meV/atom
1.0
5.264 0.000 0.000
0.000 5.264 0.000
0.000 0.000 5.254
Y Ag S Cl
1 1 2 1
direct
0.000 0.000 0.000
0.500 0.500 0.500
0.000 0.500 0.000
0.500 0.000 0.000
0.000 0.000 0.500